No. 1
Here is a relaxed structure of NbSbS3 from Alexandria via LeMat-Bulk. Energies are from GGA-PBE.

Cell: 4.8099 4.8099 4.8099 Å, 90.00 90.00 90.00°
With the nearest neighbours (Å) after each atom.
Space group Pm-3m (No. 221)
Inequivalent atoms, fractional coordinates:
Nb 0.0000 0.0000 0.0000  6 S 2.40
Sb 0.5000 0.5000 0.5000  12 S 3.40
S 0.0000 0.0000 0.5000  2 Nb 2.40

## Properties
Energy relative to the elements, uncorrected: -0.127 eV/atom
DFT total energy: -5.442 eV per atom
V: 22.25 Å³/atom

***

No. 2
Here is a relaxed structure of K3PbAu from Alexandria via LeMat-Bulk. Energies are from GGA-PBE.

Cell: 12.4402 10.4100 8.4253 Å, 90.00 128.86 90.00°
With the nearest neighbours (Å) after each atom.
Space group C2/m (No. 12)
Inequivalent atoms, fractional coordinates:
K 0.0554 0.0000 0.3349  2 Au 3.35-3.71, 1 Pb 3.70
K 0.2165 0.3017 0.7535  2 Au 3.29-3.57
Pb 0.0663 0.5000 0.2590  2 Au 2.86-2.91
Au 0.2166 0.5000 0.0996  2 Pb 2.86-2.91

## Properties
Calculated formation energy: -0.134 eV per atom
DFT total energy: -2.189 eV per atom
V: 42.48 Å³/atom

***

No. 3
Here is a relaxed structure of ScTc4C2 from Alexandria via LeMat-Bulk. Energies are from GGA-PBE.

Cell: 3.9499 12.8797 3.9179 Å, 90.00 90.00 90.00°
With the nearest neighbours (Å) after each atom.
Space group Cmmm (No. 65)
Inequivalent atoms, fractional coordinates:
Sc 0.0000 0.0000 0.0000  8 Tc 2.97-3.04, 8 C 3.23
Tc 0.0000 0.1737 0.5000  2 C 2.06
Tc 0.0000 0.3205 0.0000  2 C 2.07
C 0.0000 0.3718 0.5000  4 Tc 2.06-2.07

## Properties
Calculated formation energy: 0.105 eV per atom
DFT total energy: -9.359 eV per atom
V: 14.24 Å³/atom

***

No. 4
Here is a relaxed structure of BaCoHg2 from Alexandria via LeMat-Bulk. Energies are from GGA-PBE.

Cell: 8.0397 4.6082 6.4818 Å, 90.00 114.01 90.00°
With the nearest neighbours (Å) after each atom.
Space group C2/m (No. 12)
Inequivalent atoms, fractional coordinates:
Ba 0.0000 0.0000 0.0000  8 Hg 3.49-3.66
Co 0.0000 0.5000 0.5000  6 Hg 2.76-2.77
Hg 0.2057 0.0000 0.6188  3 Co 2.76-2.77, 3 Hg 3.01-3.03

## Properties
Calculated formation energy: 0.048 eV per atom
DFT total energy: -2.360 eV per atom
V: 27.42 Å³/atom

***

No. 5
Here is a relaxed structure of InAsBr2 from Alexandria via LeMat-Bulk. Energies are from GGA-PBE.

Cell: 3.6348 3.6348 27.7356 Å, 90.00 90.00 120.00°
With the nearest neighbours (Å) after each atom.
Space group R-3m (No. 166, hexagonal axes)
Inequivalent atoms, fractional coordinates:
In 0.0000 0.0000 0.0000  6 Br 3.18
As 0.0000 0.0000 0.5000  6 Br 3.06
Br 0.0000 0.0000 0.2470  3 As 3.06, 3 In 3.18

## Properties
Energy relative to the elements, uncorrected: 0.090 eV/atom
DFT total energy: -2.593 eV per atom
V: 26.45 Å³/atom

***

No. 6
Here is a relaxed structure of Dy3HoTe from Alexandria via LeMat-Bulk. Energies are from GGA-PBE.

Cell: 12.0294 5.7674 9.0914 Å, 90.00 95.88 90.00°
With the nearest neighbours (Å) after each atom.
Space group C2/m (No. 12)
Inequivalent atoms, fractional coordinates:
Dy 0.0582 0.0000 0.3419  2 Te 3.07-3.30, 2 Dy 3.33-3.42, 2 Ho 3.39
Dy 0.1268 0.5000 0.6357  3 Te 3.07-3.25, 1 Ho 3.29
Dy 0.1394 0.0000 0.9563  1 Te 3.17, 2 Dy 3.42-3.52, 2 Ho 3.50
Ho 0.0790 0.5000 0.1514  1 Te 3.02, 1 Ho 3.18, 1 Dy 3.29
Te 0.2131 0.0000 0.6314  1 Ho 3.02, 6 Dy 3.07-3.30

## Properties
Energy relative to the elements, uncorrected: -0.336 eV/atom
DFT total energy: -4.641 eV per atom
V: 31.37 Å³/atom

***

No. 7
Here is a relaxed structure of LiCrCd2Se from Alexandria via LeMat-Bulk. Energies are from GGA-PBE.

Cell: 5.5977 5.5977 4.7377 Å, 90.00 90.00 90.00°
With the nearest neighbours (Å) after each atom.
Space group P4/mmm (No. 123)
Inequivalent atoms, fractional coordinates:
Li 0.0000 0.0000 0.0000  8 Cd 3.67, 4 Cr 3.96
Cr 0.5000 0.5000 0.0000  2 Se 2.37
Cd 0.0000 0.5000 0.5000  2 Se 2.80
Se 0.5000 0.5000 0.5000  2 Cr 2.37

## Properties
Energy relative to the elements, uncorrected: 0.406 eV/atom
DFT total energy: -2.964 eV per atom
V: 29.69 Å³/atom

***

No. 8
Here is a relaxed structure of SrZrOs2 from Alexandria via LeMat-Bulk. Energies are from GGA-PBE.

Cell: 2.9619 2.9619 31.3033 Å, 90.00 90.00 120.00°
With the nearest neighbours (Å) after each atom.
Space group R3m (No. 160, hexagonal axes)
Inequivalent atoms, fractional coordinates:
Sr 0.0000 0.0000 0.0000  6 Sr 2.96, 3 Os 3.20
Zr 0.0000 0.0000 0.7722  6 Zr 2.96, 3 Os 2.98
Os 0.0000 0.0000 0.2471  3 Os 2.62
Os 0.0000 0.0000 0.5169  3 Os 2.62

## Properties
Calculated formation energy: 0.808 eV per atom
DFT total energy: -7.364 eV per atom
V: 19.82 Å³/atom

***

No. 9
Here is a relaxed structure of NdSmDyIn from Alexandria via LeMat-Bulk. Energies are from GGA-PBE.

Cell: 7.8251 7.8251 7.8251 Å, 90.00 90.00 90.00°
With the nearest neighbours (Å) after each atom.
Space group F-43m (No. 216)
Inequivalent atoms, fractional coordinates:
Nd 0.0000 0.0000 0.0000  4 Dy 3.39, 4 Sm 3.39
Sm 0.2500 0.2500 0.7500  4 In 3.39, 4 Nd 3.39
Dy 0.2500 0.2500 0.2500  4 In 3.39, 4 Nd 3.39
In 0.0000 0.0000 0.5000  4 Dy 3.39, 4 Sm 3.39

## Properties
Calculated formation energy: -0.108 eV per atom
DFT total energy: -4.314 eV per atom
V: 29.95 Å³/atom

***

No. 10
Here is a relaxed structure of SrAg2Pd2 from Alexandria via LeMat-Bulk. Energies are from GGA-PBE.

Cell: 4.1755 4.1755 12.5404 Å, 90.00 90.00 90.00°
With the nearest neighbours (Å) after each atom.
Space group I4/mmm (No. 139)
Inequivalent atoms, fractional coordinates:
Sr 0.0000 0.0000 0.0000  8 Pd 3.23
Ag 0.0000 0.5000 0.2500  4 Pd 2.77, 4 Ag 2.95
Pd 0.0000 0.0000 0.3957  1 Pd 2.62, 4 Ag 2.77

## Properties
Calculated formation energy: -0.269 eV per atom
DFT total energy: -3.823 eV per atom
V: 21.86 Å³/atom

***

No. 11
Here is a relaxed structure of Pr2TlRu from Alexandria via LeMat-Bulk. Energies are from GGA-PBE.

Cell: 6.5215 6.2871 11.3782 Å, 90.00 105.49 90.00°
With the nearest neighbours (Å) after each atom.
Space group P2/c (No. 13)
Inequivalent atoms, fractional coordinates:
Pr 0.1777 0.1393 0.1251  3 Ru 2.88-3.22
Pr 0.2783 0.3529 0.8318  2 Ru 2.87-3.06, 1 Tl 3.22
Tl 0.3465 0.1627 0.4248  1 Ru 2.82, 1 Tl 3.05
Ru 0.1151 0.3626 0.5708  1 Ru 2.56, 1 Tl 2.82

## Properties
Calculated formation energy: -0.159 eV per atom
DFT total energy: -5.459 eV per atom
V: 28.10 Å³/atom

***

No. 12
Here is a relaxed structure of In16Hg12Pb from Alexandria via LeMat-Bulk. Energies are from GGA-PBE.

Cell: 12.7977 15.2722 8.5553 Å, 90.00 109.70 90.00°
With the nearest neighbours (Å) after each atom.
Space group Cm (No. 8)
Inequivalent atoms, fractional coordinates:
In 0.0000 0.0000 0.0000  3 In 3.13-3.30, 4 Hg 3.18-3.20, 1 Pb 3.30
In 0.0155 0.3834 0.2064  6 Hg 3.17-3.31, 2 In 3.37-3.54
In 0.0224 0.3157 0.7156  5 Hg 3.15-3.26, 4 In 3.17-3.50
In 0.0548 0.5000 0.5566  4 Hg 3.14-3.24, 6 In 3.21-3.37
In 0.1656 0.2028 0.0731  4 Hg 3.00-3.32, 1 In 3.24
In 0.2212 0.0000 0.5953  5 Hg 3.10-3.26, 3 In 3.16-3.41
In 0.2936 0.3903 0.7361  5 Hg 3.10-3.46, 5 In 3.25-3.37
In 0.3114 0.1832 0.8304  5 In 3.17-3.54, 4 Hg 3.22-3.46, 1 Pb 3.41
In 0.3450 0.3155 0.4027  6 Hg 3.05-3.34, 2 In 3.34-3.37
In 0.4734 0.5000 0.3507  4 In 3.13-3.37, 5 Hg 3.14-3.36
Hg 0.0398 0.1103 0.7071  8 In 3.15-3.46, 2 Hg 3.35-3.37
Hg 0.1395 0.2398 0.4739  5 In 3.12-3.35, 3 Hg 3.26-3.40
Hg 0.2056 0.4008 0.0319  4 Hg 3.03-3.29, 5 In 3.10-3.34
Hg 0.2370 0.5000 0.3863  8 In 3.12-3.29, 2 Hg 3.29
Hg 0.3289 0.1108 0.3869  6 In 3.10-3.26, 1 Pb 3.38, 2 Hg 3.38-3.40
Hg 0.4469 0.3154 0.1280  6 In 3.00-3.36, 2 Hg 3.19-3.26
Hg 0.4668 0.0000 0.8625  8 In 3.18-3.39, 2 Hg 3.28, 1 Pb 3.34
Pb 0.2627 0.0000 0.0240  8 In 3.30-3.56, 5 Hg 3.34-3.62

## Properties
Calculated formation energy: 0.026 eV per atom
DFT total energy: -1.738 eV per atom
V: 27.14 Å³/atom

***

No. 13
Here is a relaxed structure of CaPrBr from Alexandria via LeMat-Bulk. Energies are from GGA-PBE.

Cell: 3.8228 3.8228 15.2073 Å, 90.00 90.00 120.00°
With the nearest neighbours (Å) after each atom.
Space group P-6m2 (No. 187)
Inequivalent atoms, fractional coordinates:
Ca 0.0000 0.0000 0.1961  3 Br 3.22
Pr 0.0000 0.0000 0.5000  6 Br 3.17
Pr 0.6667 0.3333 0.0000  6 Ca 3.71, 6 Pr 3.82
Br 0.6667 0.3333 0.3500  3 Pr 3.17, 3 Ca 3.22

## Properties
Energy relative to the elements, uncorrected: -0.848 eV/atom
DFT total energy: -3.666 eV per atom
V: 32.08 Å³/atom

***

No. 14
Here is a relaxed structure of Mn2HOs from Alexandria via LeMat-Bulk. Energies are from GGA-PBE.

Cell: 5.5956 5.5956 5.5956 Å, 90.00 90.00 90.00°
With the nearest neighbours (Å) after each atom.
Space group Fm-3m (No. 225)
Inequivalent atoms, fractional coordinates:
Mn 0.2500 0.2500 0.2500  4 H 2.42, 4 Os 2.42
H 0.0000 0.0000 0.0000  8 Mn 2.42
Os 0.0000 0.0000 0.5000  8 Mn 2.42

## Properties
DFT total energy: -7.492 eV per atom
V: 10.95 Å³/atom

***

No. 15
Here is a relaxed structure of BaAcHo from Alexandria via LeMat-Bulk. Energies are from GGA-PBE.

Cell: 3.9687 3.9687 16.7522 Å, 90.00 90.00 90.00°
With the nearest neighbours (Å) after each atom.
Space group I4mm (No. 107)
Inequivalent atoms, fractional coordinates:
Ba 0.0000 0.0000 0.0000  4 Ba 3.97, 4 Ho 4.01, 4 Ac 4.23
Ac 0.0000 0.0000 0.3114  4 Ho 3.66, 4 Ac 3.97
Ho 0.0000 0.0000 0.6710  4 Ac 3.66, 4 Ho 3.97, 4 Ba 4.01

## Properties
Calculated formation energy: 0.149 eV per atom
DFT total energy: -3.387 eV per atom
V: 43.98 Å³/atom

***

No. 16
Here is a relaxed structure of Zr2Pa5 from Alexandria via LeMat-Bulk. Energies are from GGA-PBE.

Cell: 5.1906 5.1906 21.8426 Å, 90.00 90.00 120.00°
With the nearest neighbours (Å) after each atom.
Space group R-3m (No. 166, hexagonal axes)
Inequivalent atoms, fractional coordinates:
Zr 0.0000 0.0000 0.1418  5 Pa 3.10-3.16, 3 Zr 3.19
Pa 0.0000 0.0000 0.0000  2 Zr 3.10, 6 Pa 3.17
Pa 0.0000 0.0000 0.2856  7 Pa 3.13-3.17, 1 Zr 3.14
Pa 0.0000 0.0000 0.4288  5 Pa 3.11-3.17, 3 Zr 3.16

## Properties
Calculated formation energy: 0.156 eV per atom
DFT total energy: -9.069 eV per atom
V: 24.27 Å³/atom

***

No. 17
Here is a relaxed structure of YBeAl2Au5 from Alexandria via LeMat-Bulk. Energies are from GGA-PBE.

Cell: 4.4392 5.9599 13.1392 Å, 90.00 90.00 90.00°
With the nearest neighbours (Å) after each atom.
Space group Immm (No. 71)
Inequivalent atoms, fractional coordinates:
Y 0.0000 0.0000 0.0000  10 Au 2.98-3.25
Be 0.0000 0.0000 0.5000  6 Au 2.22-2.44
Al 0.0000 0.5000 0.1951  7 Au 2.56-2.78
Au 0.0000 0.2580 0.3561  1 Be 2.44, 1 Al 2.56
Au 0.0000 0.5000 0.0000  2 Be 2.22

## Properties
Calculated formation energy: -0.351 eV per atom
DFT total energy: -4.136 eV per atom
V: 19.31 Å³/atom

***

No. 18
Here is a relaxed structure of K4U3GaN8 from Alexandria via LeMat-Bulk. Energies are from GGA-PBE.

Cell: 12.2846 6.7546 7.4910 Å, 90.00 121.41 90.00°
With the nearest neighbours (Å) after each atom.
Space group C2/m (No. 12)
Inequivalent atoms, fractional coordinates:
K 0.0000 0.0000 0.0000  6 N 2.75-2.92
K 0.0000 0.5000 0.0000  6 N 2.91-3.05
K 0.2500 0.2500 0.0000  6 N 2.90-3.07
U 0.0000 0.0000 0.5000  6 N 2.23-2.29
U 0.2500 0.2500 0.5000  6 N 2.16-2.28
Ga 0.0000 0.5000 0.5000  4 N 2.21
N 0.0335 0.2518 0.3426  1 Ga 2.21, 2 U 2.23-2.28
N 0.2177 0.0000 0.6614  3 U 2.23-2.29
N 0.2492 0.5000 0.6781  2 U 2.16

## Properties
Energy relative to the elements, uncorrected: -0.727 eV/atom
DFT total energy: -7.470 eV per atom
V: 16.58 Å³/atom

***

No. 19
Here is a relaxed structure of MnCd2Ru from Alexandria via LeMat-Bulk. Energies are from GGA-PBE.

Cell: 4.0443 4.0443 4.1790 Å, 90.00 90.00 90.00°
With the nearest neighbours (Å) after each atom.
Space group P4/mmm (No. 123)
Inequivalent atoms, fractional coordinates:
Mn 0.0000 0.0000 0.0000  4 Ru 2.86, 8 Cd 2.91
Cd 0.0000 0.5000 0.5000  4 Cd 2.86, 4 Mn 2.91, 4 Ru 2.91
Ru 0.5000 0.5000 0.0000  4 Mn 2.86, 8 Cd 2.91

## Properties
Calculated formation energy: 0.243 eV per atom
DFT total energy: -4.825 eV per atom
V: 17.09 Å³/atom

***

No. 20
Here is a relaxed structure of Cd3CuPd2 from Alexandria via LeMat-Bulk. Energies are from GGA-PBE.

Cell: 4.4451 13.3252 7.0174 Å, 90.00 90.00 90.00°
With the nearest neighbours (Å) after each atom.
Space group Cmmm (No. 65)
Inequivalent atoms, fractional coordinates:
Cd 0.0000 0.0000 0.2482  2 Cu 2.81, 6 Pd 2.82-2.84
Cd 0.0000 0.3318 0.2442  3 Cu 2.81, 5 Pd 2.82-2.87, 2 Cd 3.11
Cu 0.0000 0.1651 0.0000  8 Cd 2.81, 2 Pd 3.13
Pd 0.0000 0.1673 0.5000  8 Cd 2.83-2.86, 4 Pd 3.13-3.15
Pd 0.0000 0.5000 0.0000  8 Cd 2.82, 4 Cu 3.13
Pd 0.0000 0.5000 0.5000  8 Cd 2.84-2.87, 4 Pd 3.15

## Properties
Calculated formation energy: -0.239 eV per atom
DFT total energy: -3.111 eV per atom
V: 17.32 Å³/atom

***

Number 1: D(E_F) 4.40 states/eV/f.u.. Number 2: D(E_F) 2.74 states/eV/f.u.. Number 3: D(E_F) 2.52 states/eV/f.u.. Number 4: D(E_F) 6.99 states/eV/f.u.. Number 5: D(E_F) 1.75 states/eV/f.u.. Number 6: D(E_F) 5.47 states/eV/f.u.. Number 7: D(E_F) 2.81 states/eV/f.u.. Number 8: D(E_F) 4.80 states/eV/f.u.. Number 9: D(E_F) 5.81 states/eV/f.u.. Number 10: D(E_F) 1.36 states/eV/f.u.. Number 11: D(E_F) 3.79 states/eV/f.u.. Number 12: D(E_F) 10.79 states/eV/f.u.. Number 13: D(E_F) 1.30 states/eV/f.u.. Number 14: D(E_F) 6.43 states/eV/f.u.. Number 15: D(E_F) 5.00 states/eV/f.u.. Number 16: D(E_F) 16.97 states/eV/f.u.. Number 17: D(E_F) 4.28 states/eV/f.u.. Number 18: D(E_F) 4.41 states/eV/f.u.. Number 19: D(E_F) 1.83 states/eV/f.u.. Number 20: D(E_F) 2.11 states/eV/f.u..